! CaW2 (PBE-GGA, optimized geometry); values from VASP
&SYSTEM
  ibrav = 0, nat = 6, ntyp = 2
/
ATOMIC_SPECIES
W 183.84 W.upf
Ca 40.08 Ca.upf
CELL_PARAMETERS angstrom
1.357 -0.757 -5.358
3.142 1.082 -4.482
5.777 -5.687 0.168
ATOMIC_POSITIONS crystal
W 0.459 0.459 0.840
W 0.807 0.807 0.136
W 0.541 0.541 0.160
W 0.193 0.193 0.864
Ca 0.129 0.129 0.473
Ca 0.871 0.871 0.527
! VASP energy ... -0.3083 Ha/atom
! Total magnetic moment ... 0.00 Bohr magnetons per cell
! Energy of formation from the pure elements ... 915 meV/atom

***

! CaW (PBE-GGA, optimized geometry); values from VASP
&SYSTEM
  ibrav = 0, nat = 32, ntyp = 2
/
ATOMIC_SPECIES
W 183.84 W.upf
Ca 40.08 Ca.upf
CELL_PARAMETERS angstrom
5.804 0.000 0.000
0.000 14.772 0.000
0.000 0.000 8.985
ATOMIC_POSITIONS crystal
W 0.750 0.829 0.750
W 0.750 0.671 0.750
W 0.500 0.921 0.500
W 0.500 0.079 0.500
W 0.000 0.079 0.000
W 0.000 0.579 0.500
W 0.250 0.171 0.750
W 0.750 0.329 0.250
W 0.000 0.421 0.500
W 0.250 0.671 0.250
W 0.000 0.921 0.000
W 0.500 0.579 0.000
W 0.250 0.329 0.750
W 0.250 0.829 0.250
W 0.500 0.421 0.000
W 0.750 0.171 0.250
Ca 0.250 0.250 0.085
Ca 0.250 0.250 0.415
Ca 0.000 0.500 0.835
Ca 0.250 0.750 0.585
Ca 0.000 0.000 0.665
Ca 0.500 0.500 0.335
Ca 0.250 0.750 0.915
Ca 0.000 0.500 0.165
Ca 0.500 0.500 0.665
Ca 0.750 0.750 0.415
Ca 0.500 0.000 0.165
Ca 0.500 0.000 0.835
Ca 0.750 0.250 0.585
Ca 0.750 0.250 0.915
Ca 0.750 0.750 0.085
Ca 0.000 0.000 0.335
! VASP energy ... -0.2397 Ha/atom
! Polymorph energy (0 for the lowest one) ... 45.0 kJ per mole of atoms
! Total magnetic moment ... 0.00 Bohr magnetons per cell
! Energy of formation from the pure elements ... 955 meV/atom